Entry 1:
Computed, not measured: TbTlPd after structural relaxation at the PBE-GGA level of DFT.

Geometry as CIF:
```
data_TbTlPd
_symmetry_space_group_name_H-M 'P n m a'
_symmetry_Int_Tables_number 62
_cell_length_a 7.050
_cell_length_b 4.615
_cell_length_c 8.393
_cell_angle_alpha 90.00
_cell_angle_beta 90.00
_cell_angle_gamma 90.00
loop_
_symmetry_equiv_pos_as_xyz
'x,y,z'
'-x,-y,-z'
'-x+1/2,-y,z+1/2'
'x+1/2,y,-z+1/2'
'x+1/2,-y+1/2,-z+1/2'
'-x+1/2,y+1/2,z+1/2'
'-x,y+1/2,-z'
'x,-y+1/2,z'
loop_
_atom_site_label
_atom_site_type_symbol
_atom_site_fract_x
_atom_site_fract_y
_atom_site_fract_z
Tb1 Tb 0.027 0.250 0.190
Tl1 Tl 0.161 0.250 0.568
Pd1 Pd 0.241 0.250 0.892
```

Raw total energy = -56.11 eV/cell
Excess energy over the best structure of this formula in the dataset = 32 meV/atom

---

Entry 2:
Computed, not measured: TbYTl2Pd4 after structural relaxation at the PBE-GGA level of DFT.

Geometry as CIF:
```
data_TbYTl2Pd4
_symmetry_space_group_name_H-M 'P -6 m 2'
_symmetry_Int_Tables_number 187
_symmetry_space_group_name_Hall 'P -6 2'
_cell_length_a 4.6631
_cell_length_b 4.6631
_cell_length_c 8.8851
_cell_angle_alpha 90.00
_cell_angle_beta 90.00
_cell_angle_gamma 120.00
loop_
_atom_site_label
_atom_site_type_symbol
_atom_site_fract_x
_atom_site_fract_y
_atom_site_fract_z
Tb1 Tb 0.0000 0.0000 0.0000
Y1 Y 0.3333 0.6667 0.5000
Tl1 Tl 0.6667 0.3333 0.2504
Pd1 Pd 0.0000 0.0000 0.3394
Pd2 Pd 0.3333 0.6667 0.1602
```

Raw total energy = -41.79 eV/cell